No. 1
# Ba12Te3H5

A geometry-optimized Ba12Te3H5 structure (PBE, Alexandria).

CIF file:
```
data_Ba12Te3H5
_chemical_formula_sum 'Ba96 Te24 H40'
_space_group_name_H-M_alt 'I a -3 d'
_space_group_IT_number 230
_space_group_name_Hall '-I 4bd 2c 3'
_cell_length_a 18.340
_cell_length_b 18.340
_cell_length_c 18.340
_cell_angle_alpha 90.00
_cell_angle_beta 90.00
_cell_angle_gamma 90.00
loop_
_atom_site_label
_atom_site_fract_x
_atom_site_fract_y
_atom_site_fract_z
Ba1 0.037 0.057 0.654
Te1 0.000 0.250 0.125
H1 0.000 0.000 0.000
H2 0.000 0.250 0.375
```

Summary:
The value obtained for the volume is 38.6 Å³/atom. The total DFT energy (no corrections) comes out at -485.08 eV/cell. The calculation puts the spin magnetization at 3.148 μB/f.u. Its calculated density is 4.4 g cm⁻³.


No. 2
# CaZn2Ga4Pd

A geometry-optimized CaZn2Ga4Pd structure (PBE, Alexandria).

CIF file:
```
data_CaZn2Ga4Pd
_chemical_formula_sum 'Ca3 Zn6 Ga12 Pd3'
_space_group_name_H-M_alt 'R -3 m'
_space_group_IT_number 166
_space_group_name_Hall '-R 3 2"'
_cell_length_a 4.3411
_cell_length_b 4.3411
_cell_length_c 27.3675
_cell_angle_alpha 90.00
_cell_angle_beta 90.00
_cell_angle_gamma 120.00
loop_
_atom_site_label
_atom_site_fract_x
_atom_site_fract_y
_atom_site_fract_z
Ca1 0.0000 0.0000 0.0000
Zn1 0.0000 0.0000 0.2538
Ga1 0.0000 0.0000 0.1294
Ga2 0.0000 0.0000 0.4025
Pd1 0.0000 0.0000 0.5000
```

Summary:
The value obtained for the volume is 18.6 Å³/atom. The calculation puts the energy of formation from the pure elements at -296 meV/atom. The total DFT energy (no corrections) comes out at -72.66 eV/cell. The calculation puts the spin magnetization at 0.000 μB/f.u. Its calculated density is 6.2 g cm⁻³.


No. 3
# TeSBr2

A geometry-optimized TeSBr2 structure (PBE, Alexandria).

CIF file:
```
data_TeSBr2
_chemical_formula_sum 'Te3 S3 Br6'
_space_group_name_H-M_alt 'R -3 m'
_space_group_IT_number 166
_space_group_name_Hall '-R 3 2"'
_cell_length_a 3.6582
_cell_length_b 3.6582
_cell_length_c 29.9568
_cell_angle_alpha 90.00
_cell_angle_beta 90.00
_cell_angle_gamma 120.00
loop_
_atom_site_label
_atom_site_fract_x
_atom_site_fract_y
_atom_site_fract_z
Te1 0.0000 0.0000 0.0000
S1 0.0000 0.0000 0.5000
Br1 0.0000 0.0000 0.0888
```

Summary:
For the formation energy without anion corrections, the calculation gives 0.542 eV per atom. The value obtained for the volume is 28.9 Å³/atom. The total DFT energy (no corrections) comes out at -25.34 eV/cell. Its energy above the most stable polymorph in this dataset is 0.674 eV/atom. The calculation puts the spin magnetization at 1.833 μB/f.u. Its calculated density is 4.6 g cm⁻³.


No. 4
# KH5O3

A geometry-optimized KH5O3 structure (PBE, Alexandria).

CIF file:
```
data_KH5O3
_chemical_formula_sum 'K8 H40 O24'
_space_group_name_H-M_alt 'C 1 2 1'
_space_group_IT_number 5
_space_group_name_Hall 'C 2y'
_cell_length_a 10.231
_cell_length_b 10.266
_cell_length_c 8.533
_cell_angle_alpha 90.00
_cell_angle_beta 126.57
_cell_angle_gamma 90.00
loop_
_atom_site_label
_atom_site_fract_x
_atom_site_fract_y
_atom_site_fract_z
K1 0.126 0.000 0.258
K2 0.133 0.750 0.758
H1 0.011 0.459 0.599
H2 0.016 0.278 0.916
H3 0.088 0.707 0.099
H4 0.100 0.028 0.584
H5 0.100 0.280 0.743
H6 0.145 0.529 0.246
H7 0.153 0.296 0.404
H8 0.183 0.448 0.915
H9 0.232 0.699 0.416
H10 0.249 0.545 0.097
O1 0.000 0.221 0.000
O2 0.000 0.521 0.500
O3 0.000 0.769 0.000
O4 0.000 0.972 0.500
O5 0.041 0.347 0.759
O6 0.218 0.596 0.260
O7 0.226 0.012 0.995
O8 0.232 0.764 0.505
```

Summary:
The value obtained for the volume is 10.0 Å³/atom. The total DFT energy (no corrections) comes out at -347.63 eV/cell. The calculation puts the spin magnetization at 0.000 μB/f.u. Its calculated density is 1.7 g cm⁻³.


No. 5
# Li2LaTiIr

A geometry-optimized Li2LaTiIr structure (PBE, Alexandria).

CIF file:
```
data_Li2LaTiIr
_chemical_formula_sum 'Li2 La1 Ti1 Ir1'
_space_group_name_H-M_alt 'P 4/m m m'
_space_group_IT_number 123
_space_group_name_Hall '-P 4 2'
_cell_length_a 4.815
_cell_length_b 4.815
_cell_length_c 5.286
_cell_angle_alpha 90.00
_cell_angle_beta 90.00
_cell_angle_gamma 90.00
loop_
_atom_site_label
_atom_site_fract_x
_atom_site_fract_y
_atom_site_fract_z
Li1 0.000 0.500 0.000
La1 0.000 0.000 0.500
Ti1 0.500 0.500 0.500
Ir1 0.000 0.000 0.000
```

Summary:
The value obtained for the volume is 24.5 Å³/atom. The calculation puts the energy of formation from the pure elements at 536 meV/atom. The total DFT energy (no corrections) comes out at -22.83 eV/cell. The calculation puts the spin magnetization at 0.518 μB/f.u. Its calculated density is 5.3 g cm⁻³.


No. 6
# LaBe2Sn

A geometry-optimized LaBe2Sn structure (PBE, Alexandria).

CIF file:
```
data_LaBe2Sn
_chemical_formula_sum 'La4 Be8 Sn4'
_space_group_name_H-M_alt 'I 41/a m d'
_space_group_IT_number 141
_cell_length_a 4.631
_cell_length_b 4.631
_cell_length_c 16.834
_cell_angle_alpha 90.00
_cell_angle_beta 90.00
_cell_angle_gamma 90.00
loop_
_space_group_symop_operation_xyz
'x,y,z'
'-x,-y,-z'
'-y+1/4,x+3/4,z+1/4'
'y+1/4,-x+3/4,-z+1/4'
'-x+1/2,-y,z+1/2'
'x+1/2,y,-z+1/2'
'y+1/4,-x+1/4,z+3/4'
'-y+1/4,x+1/4,-z+3/4'
'x,-y,-z'
'-x,y,z'
'-y+1/4,-x+1/4,-z+3/4'
'y+1/4,x+1/4,z+3/4'
'-x+1/2,y,-z+1/2'
'x+1/2,-y,z+1/2'
'y+1/4,x+3/4,-z+1/4'
'-y+1/4,-x+3/4,z+1/4'
'x+1/2,y+1/2,z+1/2'
'-x+1/2,-y+1/2,-z+1/2'
'-y+3/4,x+1/4,z+3/4'
'y+3/4,-x+1/4,-z+3/4'
'-x,-y+1/2,z'
'x,y+1/2,-z'
'y+3/4,-x+3/4,z+1/4'
'-y+3/4,x+3/4,-z+1/4'
'x+1/2,-y+1/2,-z+1/2'
'-x+1/2,y+1/2,z+1/2'
'-y+3/4,-x+3/4,-z+1/4'
'y+3/4,x+3/4,z+1/4'
'-x,y+1/2,-z'
'x,-y+1/2,z'
'y+3/4,x+1/4,-z+3/4'
'-y+3/4,-x+1/4,z+3/4'
loop_
_atom_site_label
_atom_site_fract_x
_atom_site_fract_y
_atom_site_fract_z
La1 0.000 0.250 0.375
Be1 0.000 0.000 0.000
Sn1 0.000 0.250 0.875
```

Summary:
The value obtained for the volume is 22.6 Å³/atom. The calculation puts the energy of formation from the pure elements at 63 meV/atom. The total DFT energy (no corrections) comes out at -64.53 eV/cell. The calculation puts the spin magnetization at 0.000 μB/f.u. Its calculated density is 5.1 g cm⁻³.


No. 7
# Ac2NdDy

A geometry-optimized Ac2NdDy structure (PBE, Alexandria).

CIF file:
```
data_Ac2NdDy
_chemical_formula_sum 'Ac6 Nd3 Dy3'
_space_group_name_H-M_alt 'R 3 m'
_space_group_IT_number 160
_space_group_name_Hall 'R 3 -2"'
_cell_length_a 3.8293
_cell_length_b 3.8293
_cell_length_c 36.6647
_cell_angle_alpha 90.00
_cell_angle_beta 90.00
_cell_angle_gamma 120.00
loop_
_atom_site_label
_atom_site_fract_x
_atom_site_fract_y
_atom_site_fract_z
Ac1 0.0000 0.0000 0.0000
Ac2 0.0000 0.0000 0.1693
Nd1 0.0000 0.0000 0.7523
Dy1 0.0000 0.0000 0.5838
```

Summary:
The value obtained for the volume is 38.8 Å³/atom. The calculation puts the energy of formation from the pure elements at 54 meV/atom. The total DFT energy (no corrections) comes out at -52.12 eV/cell. Its energy above the most stable polymorph in this dataset is 0.017 eV/atom. The calculation puts the spin magnetization at 0.000 μB/f.u. Its calculated density is 8.1 g cm⁻³.


No. 8
# Li3Sb4S8

A geometry-optimized Li3Sb4S8 structure (PBE, Alexandria).

CIF file:
```
data_Li3Sb4S8
_chemical_formula_sum 'Li6 Sb8 S16'
_space_group_name_H-M_alt 'C 1 2/m 1'
_space_group_IT_number 12
_space_group_name_Hall '-C 2y'
_cell_length_a 10.783
_cell_length_b 11.076
_cell_length_c 7.645
_cell_angle_alpha 90.00
_cell_angle_beta 134.61
_cell_angle_gamma 90.00
loop_
_atom_site_label
_atom_site_fract_x
_atom_site_fract_y
_atom_site_fract_z
Li1 0.000 0.000 0.000
Li2 0.250 0.250 0.000
Sb1 0.000 0.000 0.500
Sb2 0.000 0.500 0.000
Sb3 0.250 0.250 0.500
S1 0.000 0.241 0.500
S2 0.000 0.251 0.000
S3 0.234 0.000 0.976
S4 0.246 0.000 0.489
```

Summary:
For the formation energy without anion corrections, the calculation gives -0.523 eV per atom. The value obtained for the volume is 21.7 Å³/atom. The total DFT energy (no corrections) comes out at -126.19 eV/cell. The calculation puts the spin magnetization at 0.000 μB/f.u. Its calculated density is 3.9 g cm⁻³.


No. 9
# HfPaCu2O8

A geometry-optimized HfPaCu2O8 structure (PBE, Alexandria).

CIF file:
```
data_HfPaCu2O8
_chemical_formula_sum 'Hf2 Pa2 Cu4 O16'
_space_group_name_H-M_alt 'I -4 m 2'
_space_group_IT_number 119
_space_group_name_Hall 'I -4 -2'
_cell_length_a 6.862
_cell_length_b 6.862
_cell_length_c 6.526
_cell_angle_alpha 90.00
_cell_angle_beta 90.00
_cell_angle_gamma 90.00
loop_
_atom_site_label
_atom_site_fract_x
_atom_site_fract_y
_atom_site_fract_z
Hf1 0.000 0.000 0.000
Pa1 0.000 0.500 0.250
Cu1 0.000 0.000 0.500
Cu2 0.000 0.500 0.750
O1 0.000 0.175 0.283
O2 0.000 0.312 0.955
```

Summary:
For the formation energy without anion corrections, the calculation gives -1.897 eV per atom. The value obtained for the volume is 12.8 Å³/atom. The total DFT energy (no corrections) comes out at -180.14 eV/cell. The calculation puts the spin magnetization at 0.994 μB/f.u. Its calculated density is 7.2 g cm⁻³.


No. 10
# YTaIr

A geometry-optimized YTaIr structure (PBE, Alexandria).

CIF file:
```
data_YTaIr
_chemical_formula_sum 'Y4 Ta4 Ir4'
_space_group_name_H-M_alt 'F -4 3 m'
_space_group_IT_number 216
_space_group_name_Hall 'F -4 2 3'
_cell_length_a 6.451
_cell_length_b 6.451
_cell_length_c 6.451
_cell_angle_alpha 90.00
_cell_angle_beta 90.00
_cell_angle_gamma 90.00
loop_
_atom_site_label
_atom_site_fract_x
_atom_site_fract_y
_atom_site_fract_z
Y1 0.000 0.000 0.000
Ta1 0.250 0.250 0.250
Ir1 0.250 0.250 0.750
```

Summary:
The value obtained for the volume is 22.4 Å³/atom. The calculation puts the energy of formation from the pure elements at 1133 meV/atom. The total DFT energy (no corrections) comes out at -95.12 eV/cell. Its energy above the most stable polymorph in this dataset is 1.710 eV/atom. The calculation puts the spin magnetization at 0.510 μB/f.u. Its calculated density is 11.4 g cm⁻³.


No. 11
# LiLu2

A geometry-optimized LiLu2 structure (PBE, Alexandria).

CIF file:
```
data_LiLu2
_chemical_formula_sum 'Li2 Lu4'
_space_group_name_H-M_alt 'I 4/m m m'
_space_group_IT_number 139
_space_group_name_Hall '-I 4 2'
_cell_length_a 3.562
_cell_length_b 3.562
_cell_length_c 12.218
_cell_angle_alpha 90.00
_cell_angle_beta 90.00
_cell_angle_gamma 90.00
loop_
_atom_site_label
_atom_site_fract_x
_atom_site_fract_y
_atom_site_fract_z
Li1 0.000 0.000 0.000
Lu1 0.000 0.000 0.345
```

Summary:
The value obtained for the volume is 25.8 Å³/atom. The calculation puts the energy of formation from the pure elements at 109 meV/atom. The total DFT energy (no corrections) comes out at -21.26 eV/cell. The calculation puts the spin magnetization at 0.015 μB/f.u. Its calculated density is 7.6 g cm⁻³.


No. 12
# Na2ZnSiO

A geometry-optimized Na2ZnSiO structure (PBE, Alexandria).

CIF file:
```
data_Na2ZnSiO
_chemical_formula_sum 'Na2 Zn1 Si1 O1'
_space_group_name_H-M_alt 'P 4/m m m'
_space_group_IT_number 123
_space_group_name_Hall '-P 4 2'
_cell_length_a 5.839
_cell_length_b 5.839
_cell_length_c 3.480
_cell_angle_alpha 90.00
_cell_angle_beta 90.00
_cell_angle_gamma 90.00
loop_
_atom_site_label
_atom_site_fract_x
_atom_site_fract_y
_atom_site_fract_z
Na1 0.000 0.500 0.000
Zn1 0.000 0.000 0.000
Si1 0.500 0.500 0.500
O1 0.000 0.000 0.500
```

Summary:
For the formation energy without anion corrections, the calculation gives -0.005 eV per atom. The value obtained for the volume is 23.7 Å³/atom. The total DFT energy (no corrections) comes out at -14.32 eV/cell. The calculation puts the spin magnetization at 0.000 μB/f.u. Its calculated density is 2.2 g cm⁻³.


Question: Which value of total DFT energy (no corrections) does entry 1 give?
Answer: -485.08 eV/cell